#one
{
  "formula": "Zr5Tl2In",
  "functional": "PBE",
  "state": "relaxed",
  "n_ef_per_ev_atom": 1.142,
  "density_g_cm3": 8.93,
  "crystal_system": "tetragonal",
  "lattice": [[-2.239, 2.239, 9.087], [2.239, -2.239, 9.087], [2.239, 2.239, -9.087]],
  "species": ["Zr", "Zr", "Zr", "Zr", "Zr", "Tl", "Tl", "In"],
  "frac_coords": [[0.000, 0.000, 0.000], [0.122, 0.622, 0.500], [0.378, 0.878, 0.500], [0.622, 0.122, 0.500], [0.878, 0.378, 0.500], [0.250, 0.250, 0.000], [0.750, 0.750, 0.000], [0.500, 0.500, 0.000]]
}

=====

#two
{
  "formula": "Zr5Tl2In",
  "functional": "PBE",
  "state": "relaxed",
  "n_ef_per_ev_atom": 1.425,
  "density_g_cm3": 8.69,
  "crystal_system": "tetragonal",
  "lattice": [[-3.850, 3.850, 6.318], [3.850, -3.850, 6.318], [3.850, 3.850, -6.318]],
  "species": ["Zr", "Zr", "Zr", "Zr", "Zr", "Zr", "Zr", "Zr", "Zr", "Zr", "Tl", "Tl", "Tl", "Tl", "In", "In"],
  "frac_coords": [[0.000, 0.000, 0.000], [0.009, 0.509, 0.195], [0.186, 0.991, 0.500], [0.314, 0.814, 0.805], [0.491, 0.686, 0.500], [0.500, 0.500, 0.000], [0.509, 0.314, 0.500], [0.686, 0.186, 0.195], [0.814, 0.009, 0.500], [0.991, 0.491, 0.805], [0.146, 0.354, 0.500], [0.354, 0.854, 0.208], [0.646, 0.146, 0.792], [0.854, 0.646, 0.500], [0.250, 0.250, 0.000], [0.750, 0.750, 0.000]]
}

=====

Top of the stability list: #one, leading by 0.066 eV/atom.

=====

#one
{
  "formula": "Zr2TlIn2",
  "functional": "PBE",
  "state": "relaxed",
  "n_ef_per_ev_atom": 0.426,
  "density_g_cm3": 8.66,
  "crystal_system": "tetragonal",
  "lattice": [[7.530, 0.000, 0.000], [0.000, 7.530, 0.000], [0.000, 0.000, 4.171]],
  "species": ["Zr", "Zr", "Zr", "Zr", "Tl", "Tl", "In", "In", "In", "In"],
  "frac_coords": [[0.173, 0.327, 0.000], [0.327, 0.827, 0.000], [0.673, 0.173, 0.000], [0.827, 0.673, 0.000], [0.000, 0.000, 0.500], [0.500, 0.500, 0.500], [0.130, 0.630, 0.500], [0.370, 0.130, 0.500], [0.630, 0.870, 0.500], [0.870, 0.370, 0.500]]
}

=====

#two
{
  "formula": "Zr2TlIn2",
  "functional": "PBE",
  "state": "relaxed",
  "n_ef_per_ev_atom": 0.584,
  "density_g_cm3": 8.26,
  "crystal_system": "tetragonal",
  "lattice": [[8.406, 0.000, 0.000], [0.000, 8.406, 0.000], [0.000, 0.000, 3.507]],
  "species": ["Zr", "Zr", "Zr", "Zr", "Tl", "Tl", "In", "In", "In", "In"],
  "frac_coords": [[0.127, 0.373, 0.000], [0.373, 0.873, 0.000], [0.627, 0.127, 0.000], [0.873, 0.627, 0.000], [0.000, 0.000, 0.000], [0.500, 0.500, 0.000], [0.173, 0.673, 0.500], [0.327, 0.173, 0.500], [0.673, 0.827, 0.500], [0.827, 0.327, 0.500]]
}

=====

Top of the stability list: #two, leading by 0.033 eV/atom.

=====

#one
{
  "formula": "Tm3In5",
  "functional": "PBE",
  "state": "relaxed",
  "n_ef_per_ev_atom": 0.536,
  "density_g_cm3": 8.91,
  "crystal_system": "orthorhombic",
  "lattice": [[4.540, -4.668, 0.000], [4.540, 4.668, 0.000], [0.000, 0.000, 4.756]],
  "species": ["Tm", "Tm", "Tm", "In", "In", "In", "In", "In"],
  "frac_coords": [[0.000, 0.000, 0.000], [0.273, 0.727, 0.500], [0.727, 0.273, 0.500], [0.000, 0.500, 0.000], [0.231, 0.231, 0.500], [0.500, 0.000, 0.000], [0.500, 0.500, 0.000], [0.769, 0.769, 0.500]]
}

=====

#two
{
  "formula": "Tm3In5",
  "functional": "PBE",
  "state": "relaxed",
  "n_ef_per_ev_atom": 0.495,
  "density_g_cm3": 8.88,
  "crystal_system": "orthorhombic",
  "lattice": [[4.893, -4.001, 0.000], [4.893, 4.001, 0.000], [0.000, 0.000, 10.321]],
  "species": ["Tm", "Tm", "Tm", "Tm", "Tm", "Tm", "In", "In", "In", "In", "In", "In", "In", "In", "In", "In"],
  "frac_coords": [[0.111, 0.889, 0.750], [0.293, 0.293, 0.000], [0.293, 0.293, 0.500], [0.707, 0.707, 0.000], [0.707, 0.707, 0.500], [0.889, 0.111, 0.250], [0.007, 0.432, 0.750], [0.196, 0.804, 0.042], [0.196, 0.804, 0.458], [0.432, 0.007, 0.250], [0.500, 0.500, 0.250], [0.500, 0.500, 0.750], [0.568, 0.993, 0.750], [0.804, 0.196, 0.542], [0.804, 0.196, 0.958], [0.993, 0.568, 0.250]]
}

=====

Top of the stability list: #two, leading by 0.021 eV/atom.

=====

#one
{
  "formula": "Y2Tm3In4",
  "functional": "PBE",
  "state": "relaxed",
  "n_ef_per_ev_atom": 0.859,
  "density_g_cm3": 7.86,
  "crystal_system": "monoclinic",
  "lattice": [[4.524, -2.614, 0.000], [4.524, 2.614, 0.000], [-0.013, 0.000, 10.215]],
  "species": ["Y", "Y", "Tm", "Tm", "Tm", "In", "In", "In", "In"],
  "frac_coords": [[0.167, 0.167, 0.276], [0.833, 0.833, 0.724], [0.167, 0.167, 0.927], [0.500, 0.500, 0.500], [0.833, 0.833, 0.073], [0.167, 0.167, 0.601], [0.500, 0.500, 0.155], [0.500, 0.500, 0.845], [0.833, 0.833, 0.399]]
}

=====

#two
{
  "formula": "Y2Tm3In4",
  "functional": "PBE",
  "state": "relaxed",
  "n_ef_per_ev_atom": 0.753,
  "density_g_cm3": 7.39,
  "crystal_system": "orthorhombic",
  "lattice": [[3.486, -8.138, 0.000], [3.486, 8.138, 0.000], [0.000, 0.000, 9.067]],
  "species": ["Y", "Y", "Y", "Y", "Tm", "Tm", "Tm", "Tm", "Tm", "Tm", "In", "In", "In", "In", "In", "In", "In", "In"],
  "frac_coords": [[0.111, 0.889, 0.925], [0.389, 0.611, 0.425], [0.611, 0.389, 0.575], [0.889, 0.111, 0.075], [0.000, 0.000, 0.500], [0.036, 0.464, 0.750], [0.464, 0.036, 0.250], [0.500, 0.500, 0.000], [0.536, 0.964, 0.750], [0.964, 0.536, 0.250], [0.186, 0.814, 0.541], [0.222, 0.278, 0.750], [0.278, 0.222, 0.250], [0.314, 0.686, 0.041], [0.686, 0.314, 0.959], [0.722, 0.778, 0.750], [0.778, 0.722, 0.250], [0.814, 0.186, 0.459]]
}

=====

Top of the stability list: #one, leading by 0.149 eV/atom.

=====

#one
{
  "formula": "Y2Tm2In",
  "functional": "PBE",
  "state": "relaxed",
  "n_ef_per_ev_atom": 1.655,
  "density_g_cm3": 5.49,
  "crystal_system": "trigonal",
  "lattice": [[2.563, 1.480, 8.387], [-2.563, 1.480, 8.387], [0.000, -2.959, 8.387]],
  "species": ["Y", "Y", "Tm", "Tm", "In"],
  "frac_coords": [[0.067, 0.067, 0.067], [0.933, 0.933, 0.933], [0.199, 0.199, 0.199], [0.801, 0.801, 0.801], [0.500, 0.500, 0.500]]
}

=====

#two
{
  "formula": "Y2Tm2In",
  "functional": "PBE",
  "state": "relaxed",
  "n_ef_per_ev_atom": 1.545,
  "density_g_cm3": 7.01,
  "crystal_system": "monoclinic",
  "lattice": [[6.257, -1.876, 0.000], [6.257, 1.876, 0.000], [-5.818, 0.000, 6.362]],
  "species": ["Y", "Y", "Tm", "Tm", "In"],
  "frac_coords": [[0.081, 0.081, 0.376], [0.919, 0.919, 0.624], [0.264, 0.264, 0.173], [0.736, 0.736, 0.827], [0.500, 0.500, 0.000]]
}

=====

Top of the stability list: #two, leading by 0.653 eV/atom.

=====

#one
{
  "formula": "Y2TmIn2",
  "functional": "PBE",
  "state": "relaxed",
  "n_ef_per_ev_atom": 1.177,
  "density_g_cm3": 6.66,
  "crystal_system": "orthorhombic",
  "lattice": [[-2.414, 3.366, 4.419], [2.414, -3.366, 4.419], [2.414, 3.366, -4.419]],
  "species": ["Y", "Y", "Tm", "In", "In"],
  "frac_coords": [[0.195, 0.195, 0.000], [0.805, 0.805, 0.000], [0.500, 0.000, 0.500], [0.215, 0.500, 0.715], [0.785, 0.500, 0.285]]
}

=====

#two
{
  "formula": "Y2TmIn2",
  "functional": "PBE",
  "state": "relaxed",
  "n_ef_per_ev_atom": 0.742,
  "density_g_cm3": 6.96,
  "crystal_system": "monoclinic",
  "lattice": [[3.749, 0.000, 0.000], [0.000, 5.318, 0.000], [-1.878, 0.000, 13.794]],
  "species": ["Y", "Y", "Y", "Y", "Tm", "Tm", "In", "In", "In", "In"],
  "frac_coords": [[0.047, 0.250, 0.095], [0.237, 0.250, 0.474], [0.763, 0.750, 0.526], [0.953, 0.750, 0.905], [0.149, 0.750, 0.300], [0.851, 0.250, 0.700], [0.357, 0.750, 0.713], [0.448, 0.250, 0.897], [0.552, 0.750, 0.103], [0.643, 0.250, 0.287]]
}

=====

Top of the stability list: #two, leading by 0.013 eV/atom.